# 1
Entry from Alexandria: crystalline Tb7Tm3Th2 at its relaxed geometry (PBE).

a = 3.5593 Å, b = 5.7617 Å, c = 18.8429 Å
α = 93.70°, β = 90.00°, γ = 90.00°
Positions (direct):
Tb1 0.5000 0.7418 0.4608
Tb2 0.5000 0.2582 0.5392
Tb3 0.0000 0.6800 0.1416
Tb4 0.0000 0.0000 0.0000
Tb5 0.0000 0.3200 0.8584
Tb6 0.5000 0.8180 0.8221
Tb7 0.5000 0.1820 0.1779
Tm1 0.5000 0.5000 0.0000
Tm2 0.0000 0.2244 0.3706
Tm3 0.0000 0.7756 0.6294
Th1 0.5000 0.7095 0.2939
Th2 0.5000 0.2905 0.7061

Calculated values
excess energy over the best structure of this formula in the dataset	0.113	eV per atom
crystal system	monoclinic

# 2
Entry from Alexandria: crystalline Tb7Tm2Th3 at its relaxed geometry (PBE).

a = 5.4964 Å, b = 6.1013 Å, c = 12.1148 Å
α = 91.40°, β = 90.00°, γ = 90.00°
Positions (direct):
Tb1 0.5000 0.2407 0.4549
Tb2 0.5000 0.7593 0.5451
Tb3 0.0000 0.4409 0.1827
Tb4 0.0000 0.0000 0.0000
Tb5 0.0000 0.5591 0.8173
Tb6 0.5000 0.9190 0.8267
Tb7 0.5000 0.0810 0.1733
Tm1 0.5000 0.6109 0.2765
Tm2 0.5000 0.3891 0.7235
Th1 0.5000 0.5000 0.0000
Th2 0.0000 0.9339 0.3560
Th3 0.0000 0.0661 0.6440

Calculated values
crystal system	monoclinic

# 3
Entry from Alexandria: crystalline Tb6Tm3Th at its relaxed geometry (PBE).

a = 6.1778 Å, b = 10.9306 Å, c = 10.9306 Å
α = 119.07°, β = 90.00°, γ = 90.00°
Positions (direct):
Tb1 0.0364 0.7077 0.6198
Tb2 0.5364 0.6198 0.7077
Tb3 0.3704 0.5350 0.9544
Tb4 0.8704 0.9544 0.5350
Tb5 0.4071 0.9548 0.0452
Tb6 0.6427 0.2732 0.7268
Tb7 0.1427 0.7268 0.2732
Tb8 0.9071 0.0452 0.9548
Tb9 0.3704 0.0456 0.4650
Tb10 0.8704 0.4650 0.0456
Tb11 0.0364 0.3802 0.2923
Tb12 0.5364 0.2923 0.3802
Tm1 0.4576 0.9378 0.7171
Tm2 0.9576 0.7171 0.9378
Tm3 0.0681 0.3871 0.6129
Tm4 0.5681 0.6129 0.3871
Tm5 0.9576 0.0622 0.2828
Tm6 0.4576 0.2828 0.0622
Th1 0.1386 0.2044 0.7956
Th2 0.6386 0.7956 0.2044

Calculated values
excess energy over the best structure of this formula in the dataset	0.000	eV per atom
crystal system	orthorhombic

# 4
Entry from Alexandria: crystalline Tb8Tm3Th3 at its relaxed geometry (PBE).

a = 5.6679 Å, b = 9.5884 Å, c = 9.5884 Å
α = 102.50°, β = 72.81°, γ = 72.81°
Positions (direct):
Tb1 0.6589 0.1190 0.5633
Tb2 0.3411 0.8810 0.4367
Tb3 0.6589 0.5633 0.1190
Tb4 0.3411 0.4367 0.8810
Tb5 0.8381 0.7643 0.5596
Tb6 0.1619 0.2357 0.4404
Tb7 0.8381 0.5596 0.7643
Tb8 0.1619 0.4404 0.2357
Tm1 0.5000 0.5000 0.5000
Tm2 0.8085 0.1912 0.1912
Tm3 0.1915 0.8088 0.8088
Th1 0.5000 0.0000 0.0000
Th2 0.0000 0.8148 0.1852
Th3 0.0000 0.1852 0.8148

Calculated values
crystal system	orthorhombic

# 5
Entry from Alexandria: crystalline Tb4Tm5Th at its relaxed geometry (PBE).

a = 3.5285 Å, b = 10.9493 Å, c = 8.6669 Å
α = 90.54°, β = 101.74°, γ = 90.00°
Positions (direct):
Tb1 0.6521 0.2462 0.3053
Tb2 0.9728 0.2514 0.9464
Tb3 0.3479 0.7538 0.6947
Tb4 0.0272 0.7486 0.0536
Tm1 0.1729 0.5460 0.3461
Tm2 0.1716 0.9501 0.3439
Tm3 0.8284 0.0499 0.6561
Tm4 0.5000 0.5000 0.0000
Tm5 0.8271 0.4540 0.6539
Th1 0.5000 0.0000 0.0000

Calculated values
excess energy over the best structure of this formula in the dataset	0.000	eV per atom
crystal system	monoclinic

# 6
Entry from Alexandria: crystalline Tb6Tm2Th at its relaxed geometry (PBE).

a = 7.3616 Å, b = 7.3616 Å, c = 7.7256 Å
α = 61.55°, β = 61.55°, γ = 60.00°
Positions (direct):
Tb1 0.7811 0.2635 0.6918
Tb2 0.2636 0.7811 0.6918
Tb3 0.2635 0.2636 0.6918
Tb4 0.0444 0.6165 0.2947
Tb5 0.0445 0.0444 0.2947
Tb6 0.6165 0.0445 0.2947
Tm1 0.7542 0.7542 0.7373
Tm2 0.5797 0.5797 0.2610
Th1 0.3183 0.3183 0.0452

Calculated values
excess energy over the best structure of this formula in the dataset	0.347	eV per atom
crystal system	trigonal

# 7
Entry from Alexandria: crystalline Tb3Tm7Th2 at its relaxed geometry (PBE).

a = 4.6030 Å, b = 5.3503 Å, c = 16.2445 Å
α = 99.48°, β = 90.00°, γ = 90.00°
Positions (direct):
Tb1 0.5000 0.5000 0.0000
Tb2 0.5000 0.6527 0.3054
Tb3 0.5000 0.3473 0.6946
Tm1 0.0000 0.4205 0.8410
Tm2 0.0000 0.7286 0.4572
Tm3 0.0000 0.0000 0.0000
Tm4 0.0000 0.5795 0.1590
Tm5 0.5000 0.0789 0.1578
Tm6 0.5000 0.9211 0.8422
Tm7 0.0000 0.2714 0.5428
Th1 0.0000 0.8415 0.6830
Th2 0.0000 0.1585 0.3170

Calculated values
crystal system	orthorhombic

# 8
Entry from Alexandria: crystalline Tb5TmTh at its relaxed geometry (PBE).

a = 6.1132 Å, b = 9.2857 Å, c = 8.6485 Å
α = 86.26°, β = 78.57°, γ = 70.78°
Positions (direct):
Tb1 0.3845 0.6279 0.8548
Tb2 0.4596 0.3060 0.5365
Tb3 0.0123 0.3721 0.3548
Tb4 0.8521 0.2958 0.7500
Tb5 0.2345 0.3060 0.9635
Tb6 0.7655 0.6940 0.0365
Tb7 0.1479 0.7042 0.2500
Tb8 0.9877 0.6279 0.6452
Tb9 0.5404 0.6940 0.4635
Tb10 0.6155 0.3721 0.1452
Tm1 0.5134 0.9733 0.7500
Tm2 0.4866 0.0267 0.2500
Th1 0.0000 0.0000 0.0000
Th2 0.0000 0.0000 0.5000

Calculated values
crystal system	monoclinic

# 9
Entry from Alexandria: crystalline Tb3Tm3Th at its relaxed geometry (PBE).

a = 5.6455 Å, b = 9.5095 Å, c = 9.5095 Å
α = 120.00°, β = 90.00°, γ = 90.00°
Positions (direct):
Tb1 0.7500 0.7569 0.8113
Tb2 0.7500 0.0544 0.2431
Tb3 0.7500 0.1886 0.9456
Tb4 0.2500 0.2431 0.1887
Tb5 0.2500 0.9456 0.7569
Tb6 0.2500 0.8114 0.0544
Tm1 0.2500 0.5202 0.6154
Tm2 0.2500 0.0952 0.4798
Tm3 0.2500 0.3846 0.9048
Tm4 0.7500 0.4798 0.3846
Tm5 0.7500 0.9048 0.5202
Tm6 0.7500 0.6154 0.0952
Th1 0.7500 0.3333 0.6667
Th2 0.2500 0.6667 0.3333

Calculated values
excess energy over the best structure of this formula in the dataset	0.000	eV per atom
crystal system	hexagonal

# 10
Entry from Alexandria: crystalline Tb4TmTh3 at its relaxed geometry (PBE).

a = 5.0292 Å, b = 10.0986 Å, c = 10.0772 Å
α = 90.00°, β = 90.00°, γ = 90.00°
Positions (direct):
Tm1 0.0644 0.3776 0.0000
Tm2 0.5644 0.6224 0.5000
Tb1 0.0644 0.8690 0.0000
Tb2 0.5644 0.1271 0.0000
Tb3 0.0644 0.1286 0.2505
Tb4 0.5644 0.8714 0.2495
Tb5 0.0644 0.8729 0.5000
Tb6 0.5644 0.1310 0.5000
Tb7 0.5644 0.8714 0.7505
Tb8 0.0644 0.1286 0.7495
Th1 0.5644 0.6230 0.0000
Th2 0.0644 0.6220 0.2480
Th3 0.5644 0.3780 0.2520
Th4 0.0644 0.3770 0.5000
Th5 0.5644 0.3780 0.7480
Th6 0.0644 0.6220 0.7520

Calculated values
excess energy over the best structure of this formula in the dataset	0.000	eV per atom
crystal system	orthorhombic

| no. | ΔE_f (meV per atom) |
| --- | --- |
| 1 | 124 |
| 2 | 336 |
| 3 | 169 |
| 4 | 156 |
| 5 | 188 |
| 6 | 403 |
| 7 | 298 |
| 8 | 202 |
| 9 | 18 |
| 10 | 28 |